Computed, not measured: TiZn6Cu after structural relaxation at the PBE-GGA level of DFT.

Properties
Total DFT energy (no corrections) ... -2.5247 eV/atom
Density ... 7095 kg/m3
Offset from the most stable computed form ... 0.0305 eV/atom
V ... 14.74 Å³ per atom
Total moment ... 0.00 μB per atom
Formation enthalpy at 0 K ... -0.0703 eV per atom
N(E_F) ... 0.52 states/eV/atom

Geometry as CIF:
```
data_TiZn6Cu
_chemical_formula_sum 'Ti1 Zn6 Cu1'
_space_group_name_H-M_alt 'P 1'
_space_group_IT_number 1
_space_group_name_Hall 'P 1'
_cell_length_a 4.1511
_cell_length_b 5.4967
_cell_length_c 5.4967
_cell_angle_alpha 109.91
_cell_angle_beta 90.00
_cell_angle_gamma 90.00
loop_
_atom_site_label
_atom_site_type_symbol
_atom_site_fract_x
_atom_site_fract_y
_atom_site_fract_z
_atom_site_occupancy
Cu1 Cu 0.5000 0.3688 0.6312 1
Zn1 Zn 0.5000 0.9338 0.0662 1
Ti1 Ti 0.0000 0.1292 0.8708 1
Zn2 Zn 0.5000 0.8684 0.5631 1
Zn3 Zn 0.5000 0.4369 0.1316 1
Zn4 Zn 0.0000 0.0654 0.3664 1
Zn5 Zn 0.0000 0.5636 0.4364 1
Zn6 Zn 0.0000 0.6336 0.9346 1
```